Entry 1:
A plane-wave DFT calculation with PBE was carried out for crystalline MnAl2Ge at its relaxed geometry.

For the density of states at the Fermi level, the calculation gives 4.06 states/eV/f.u. The final energy is -5.023 eV/atom. The value obtained for the volume is 366.68 Å³ per cell.

The structure in CIF format:
```
data_MnAl2Ge
_chemical_formula_sum 'Mn4 Al8 Ge4'
_cell_length_a 9.009
_cell_length_b 9.009
_cell_length_c 4.518
_cell_angle_alpha 90.00
_cell_angle_beta 90.00
_cell_angle_gamma 90.00
_symmetry_space_group_name_H-M 'I -4 2 d'
_symmetry_Int_Tables_number 122
_symmetry_space_group_name_Hall 'I -4 2bw'
loop_
_atom_site_label
_atom_site_fract_x
_atom_site_fract_y
_atom_site_fract_z
_atom_site_occupancy
Mn1 0.000 0.000 0.000 1
Al1 0.001 0.750 0.125 1
Ge1 0.000 0.000 0.500 1
```

=====

Entry 2:
A plane-wave DFT calculation with PBE was carried out for crystalline Tc2Os at its relaxed geometry.

The value obtained for the offset from the most stable computed form is 0.131 eV per atom. For the density of states at the Fermi level, the calculation gives 3.53 states/eV/f.u. The final energy is -10.587 eV/atom. The value obtained for the volume is 87.18 Å³ per cell.

The structure in CIF format:
```
data_Tc2Os
_chemical_formula_sum 'Tc4 Os2'
_cell_length_a 2.734
_cell_length_b 2.734
_cell_length_c 11.666
_cell_angle_alpha 90.00
_cell_angle_beta 90.00
_cell_angle_gamma 90.00
_symmetry_space_group_name_H-M 'I 4/m m m'
_symmetry_Int_Tables_number 139
_symmetry_space_group_name_Hall '-I 4 2'
loop_
_atom_site_label
_atom_site_fract_x
_atom_site_fract_y
_atom_site_fract_z
_atom_site_occupancy
Tc1 0.000 0.000 0.165 1
Os1 0.000 0.000 0.500 1
```

=====

Entry 3:
A plane-wave DFT calculation with PBE was carried out for crystalline Ac2Nd at its relaxed geometry.

The value obtained for the offset from the most stable computed form is 0.000 eV per atom. For the density of states at the Fermi level, the calculation gives 4.83 states/eV/f.u. The final energy is -4.304 eV/atom. The value obtained for the volume is 376.40 Å³ per cell.

The structure in CIF format:
```
data_Ac2Nd
_chemical_formula_sum 'Ac6 Nd3'
_cell_length_a 3.9273
_cell_length_b 3.9273
_cell_length_c 28.1788
_cell_angle_alpha 90.00
_cell_angle_beta 90.00
_cell_angle_gamma 120.00
_symmetry_space_group_name_H-M 'R 3 m'
_symmetry_Int_Tables_number 160
_symmetry_space_group_name_Hall 'R 3 -2"'
loop_
_atom_site_label
_atom_site_fract_x
_atom_site_fract_y
_atom_site_fract_z
_atom_site_occupancy
Ac1 0.0000 0.0000 0.0000 1
Ac2 0.0000 0.0000 0.2170 1
Nd1 0.0000 0.0000 0.4428 1
```

=====

Entry 4:
A plane-wave DFT calculation with PBE was carried out for crystalline Pm4Sm5Mg2 at its relaxed geometry.

The value obtained for the offset from the most stable computed form is 0.000 eV per atom. For the density of states at the Fermi level, the calculation gives 15.87 states/eV/f.u. The final energy is -4.108 eV/atom. The value obtained for the volume is 718.27 Å³ per cell.

The structure in CIF format:
```
data_Pm4Sm5Mg2
_chemical_formula_sum 'Pm8 Sm10 Mg4'
_cell_length_a 22.777
_cell_length_b 3.571
_cell_length_c 8.848
_cell_angle_alpha 90.00
_cell_angle_beta 93.56
_cell_angle_gamma 90.00
_symmetry_space_group_name_H-M 'C 1 2/m 1'
_symmetry_Int_Tables_number 12
_symmetry_space_group_name_Hall '-C 2y'
loop_
_atom_site_label
_atom_site_fract_x
_atom_site_fract_y
_atom_site_fract_z
_atom_site_occupancy
Pm1 0.072 0.000 0.215 1
Pm2 0.212 0.500 0.322 1
Sm1 0.000 0.500 0.500 1
Sm2 0.130 0.000 0.601 1
Sm3 0.184 0.000 0.971 1
Mg1 0.056 0.500 0.875 1
```

=====

Entry 5:
A plane-wave DFT calculation with PBE was carried out for crystalline InCo2Ni at its relaxed geometry.

For the density of states at the Fermi level, the calculation gives 4.59 states/eV/f.u. The final energy is -5.238 eV/atom. The value obtained for the volume is 233.67 Å³ per cell.

The structure in CIF format:
```
data_InCo2Ni
_chemical_formula_sum 'In4 Co8 Ni4'
_cell_length_a 3.593
_cell_length_b 3.593
_cell_length_c 18.100
_cell_angle_alpha 90.00
_cell_angle_beta 90.00
_cell_angle_gamma 90.00
_symmetry_space_group_name_H-M 'I -4 2 d'
_symmetry_Int_Tables_number 122
_symmetry_space_group_name_Hall 'I -4 2bw'
loop_
_atom_site_label
_atom_site_fract_x
_atom_site_fract_y
_atom_site_fract_z
_atom_site_occupancy
In1 0.000 0.000 0.000 1
Co1 0.208 0.250 0.625 1
Ni1 0.000 0.000 0.500 1
```

=====

Entry 6:
A plane-wave DFT calculation with PBE was carried out for crystalline RuRh2Pb at its relaxed geometry.

For the density of states at the Fermi level, the calculation gives 4.74 states/eV/f.u. The final energy is -6.661 eV/atom. The value obtained for the volume is 65.79 Å³ per cell.

The structure in CIF format:
```
data_RuRh2Pb
_chemical_formula_sum 'Ru1 Rh2 Pb1'
_cell_length_a 2.940
_cell_length_b 3.856
_cell_length_c 5.804
_cell_angle_alpha 90.00
_cell_angle_beta 90.10
_cell_angle_gamma 90.00
_symmetry_space_group_name_H-M 'P 1 2/m 1'
_symmetry_Int_Tables_number 10
_symmetry_space_group_name_Hall '-P 2y'
loop_
_atom_site_label
_atom_site_fract_x
_atom_site_fract_y
_atom_site_fract_z
_atom_site_occupancy
Ru1 0.000 0.000 0.000 1
Rh1 0.499 0.500 0.775 1
Pb1 0.000 0.000 0.500 1
```

=====

Please write out number 2 again, unchanged.
A plane-wave DFT calculation with PBE was carried out for crystalline Tc2Os at its relaxed geometry.

The value obtained for the offset from the most stable computed form is 0.131 eV per atom. For the density of states at the Fermi level, the calculation gives 3.53 states/eV/f.u. The final energy is -10.587 eV/atom. The value obtained for the volume is 87.18 Å³ per cell.

The structure in CIF format:
```
data_Tc2Os
_chemical_formula_sum 'Tc4 Os2'
_cell_length_a 2.734
_cell_length_b 2.734
_cell_length_c 11.666
_cell_angle_alpha 90.00
_cell_angle_beta 90.00
_cell_angle_gamma 90.00
_symmetry_space_group_name_H-M 'I 4/m m m'
_symmetry_Int_Tables_number 139
_symmetry_space_group_name_Hall '-I 4 2'
loop_
_atom_site_label
_atom_site_fract_x
_atom_site_fract_y
_atom_site_fract_z
_atom_site_occupancy
Tc1 0.000 0.000 0.165 1
Os1 0.000 0.000 0.500 1
```